The following is a DFT calculation (PBE) of a relaxed Ta2NbW4 crystal.

- V: 18.6 A^3/atom
- Formation enthalpy at 0 K: 0.616 eV per atom

Cell: 6.810 6.810 2.801 Å, 90.00 90.00 90.00°
Space group P-42m (No. 111)
Inequivalent atoms, fractional coordinates:
Ta 0.000 0.500 0.000 x2
Nb 0.000 0.000 0.500 x1
W 0.321 0.321 0.343 x4